1.
Density functional theory data (GGA-PBE) for a relaxed Ac3Nd4Sm3 crystal.

Output
DOS(E_F): 1.21 states/eV/atom
Space group: Amm2, No. 38
ΔH_f (0 K): 0.078 eV per atom
Final energy: -4.4770 eV/atom
Calculated volume: 383.2 Å³/cell

Cell lengths 3.9091, 9.9014, 9.9014 Å; angles 90.59, 90.00, 90.00 degrees
With the nearest neighbours (Å) after each atom.
Element x y z (fractional)
1 Nd 0.0000 0.1184 0.1354  4 Sm 3.43-3.51, 1 Nd 3.53, 3 Ac 3.66-3.78
2 Ac 0.0000 0.5033 0.0010  4 Nd 3.78-4.05, 4 Ac 3.91-4.17, 6 Sm 4.11-4.20
3 Sm 0.5000 0.3314 0.3258  6 Nd 3.43-3.55
4 Nd 0.0000 0.3828 0.6172  1 Nd 3.45, 4 Sm 3.52, 2 Ac 3.55
5 Ac 0.5000 0.1721 0.8279  6 Nd 3.55-3.66, 2 Ac 3.91
6 Nd 0.0000 0.8646 0.8816  4 Sm 3.43-3.51, 1 Nd 3.53, 3 Ac 3.66-3.78
7 Sm 0.5000 0.6742 0.6686  6 Nd 3.43-3.55
8 Nd 0.0000 0.6277 0.3723  6 Sm 3.41-3.55, 1 Nd 3.45
9 Ac 0.0000 0.9990 0.4967  4 Nd 3.78-4.05, 4 Ac 3.91-4.17, 6 Sm 4.11-4.20
10 Sm 0.5000 0.8266 0.1734  6 Nd 3.41-3.51

2.
Density functional theory data (GGA-PBE) for a relaxed PmNdTlIn crystal.

Output
DOS(E_F): 0.52 states/eV/atom
Space group: F-43m, No. 216
ΔH_f (0 K): -0.440 eV per atom
Final energy: -4.0959 eV/atom
Calculated volume: 116.7 Å³/cell

Cell lengths 5.4847, 5.4847, 5.4847 Å; angles 60.00, 60.00, 60.00 degrees
With the nearest neighbours (Å) after each atom.
Element x y z (fractional)
1 Tl 0.0000 0.0000 0.0000  4 Pm 3.36, 4 Nd 3.36
2 Pm 0.2500 0.2500 0.2500  4 Tl 3.36, 4 In 3.36
3 Nd 0.7500 0.7500 0.7500  4 In 3.36, 4 Tl 3.36
4 In 0.5000 0.5000 0.5000  4 Nd 3.36, 4 Pm 3.36

3.
Density functional theory data (GGA-PBE) for a relaxed La7PrCo3 crystal.

Output
DOS(E_F): 1.37 states/eV/atom
Space group: P3m1, No. 156
ΔH_f (0 K): -0.061 eV per atom
Final energy: -5.5690 eV/atom
Calculated volume: 350.9 Å³/cell

Cell lengths 6.5329, 7.8749, 7.8748 Å; angles 120.00, 90.00, 90.00 degrees
With the nearest neighbours (Å) after each atom.
Element x y z (fractional)
1 La 0.0231 0.3333 0.6667  3 Co 2.74
2 La 0.5430 0.6653 0.8327  2 Co 2.76
3 La 0.0225 0.3363 0.1681  2 Co 2.75
4 La 0.5430 0.1673 0.8327  2 Co 2.76
5 Pr 0.5394 0.6667 0.3333  3 Co 2.80
6 Co 0.7854 0.0021 0.5011  5 La 2.74-2.76, 1 Pr 2.80
7 La 0.0225 0.8319 0.1681  2 Co 2.75
8 Co 0.7854 0.4989 0.9979  5 La 2.74-2.76, 1 Pr 2.80
9 Co 0.7854 0.4989 0.5011  5 La 2.74-2.76, 1 Pr 2.80
10 La 0.0225 0.8319 0.6637  2 Co 2.75
11 La 0.5430 0.1673 0.3347  2 Co 2.76

4.
Density functional theory data (GGA-PBE) for a relaxed MoCl3 crystal.

Output
DOS(E_F): 0.88 states/eV/atom
E_form (uncorrected): 0.022 eV/atom
Space group: I-42d, No. 122
Final energy: -4.0704 eV/atom
Excess energy over the best structure of this formula in the dataset: 3.52 eV per formula unit
Calculated volume: 216.5 Å³/cell

Cell lengths 6.9030, 6.9030, 6.6686 Å; angles 58.83, 58.83, 90.00 degrees
With the nearest neighbours (Å) after each atom.
Element x y z (fractional)
1 Cl 0.5000 0.5000 0.0000  4 Cl 3.22
2 Cl 0.0166 0.6250 0.2500  2 Mo 2.29
3 Cl 0.8750 0.9834 0.7500  2 Mo 2.29
4 Mo 0.7500 0.2500 0.5000  4 Cl 2.29
5 Cl 0.7334 0.1250 0.2500  2 Mo 2.29
6 Cl 0.3750 0.2666 0.7500  2 Mo 2.29
7 Mo 0.0000 0.0000 0.0000  4 Cl 2.29
8 Cl 0.2500 0.7500 0.5000  4 Cl 3.22

5.
Density functional theory data (GGA-PBE) for a relaxed Cs3Ho3NbSe8 crystal.

Output
DOS(E_F): 0.32 states/eV/atom
E_form (uncorrected): -1.498 eV/atom
Space group: C2/m, No. 12
Final energy: -5.1141 eV/atom
Calculated volume: 498.1 Å³/cell

Cell lengths 8.2000, 8.2009, 9.7786 Å; angles 114.83, 90.00, 120.00 degrees
With the nearest neighbours (Å) after each atom.
Element x y z (fractional)
1 Se 0.2163 0.9618 0.6779  1 Nb 2.70, 2 Ho 2.87
2 Cs 0.5000 0.5000 0.0000  6 Se 3.58-3.59
3 Se 0.2546 0.0382 0.3221  1 Nb 2.70, 2 Ho 2.87
4 Nb 0.0000 0.0000 0.5000  6 Se 2.70
5 Ho 0.5000 0.0000 0.5000  6 Se 2.85-2.87
6 Cs 0.0000 0.0000 0.0000  6 Se 3.58-3.59
7 Se 0.7837 0.0382 0.3221  1 Nb 2.70, 2 Ho 2.87
8 Ho 0.5000 0.5000 0.5000  6 Se 2.85-2.87
9 Cs 0.0000 0.5000 0.0000  6 Se 3.58-3.59
10 Se 0.7454 0.9618 0.6779  1 Nb 2.70, 2 Ho 2.87
11 Se 0.2713 0.5426 0.3140  3 Ho 2.85
12 Se 0.7836 0.5671 0.3220  1 Nb 2.70, 2 Ho 2.87
13 Se 0.7287 0.4574 0.6860  3 Ho 2.85
14 Se 0.2164 0.4329 0.6780  1 Nb 2.70, 2 Ho 2.87
15 Ho 0.0000 0.5000 0.5000  6 Se 2.85-2.87

6.
Density functional theory data (GGA-PBE) for a relaxed K2SrH6Ru crystal.

Output
Space group: P-3m1, No. 164
Final energy: -3.6354 eV/atom
Calculated volume: 187.2 Å³/cell

Cell lengths 5.9604, 6.0216, 6.0216 Å; angles 120.00, 90.00, 90.00 degrees
With the nearest neighbours (Å) after each atom.
Element x y z (fractional)
1 H 0.8322 0.7248 0.8624  1 Ru 1.75
2 H 0.1678 0.8624 0.7248  1 Ru 1.75
3 H 0.1678 0.2752 0.1376  1 Ru 1.75
4 H 0.8322 0.1376 0.2752  1 Ru 1.75
5 H 0.1678 0.8624 0.1376  1 Ru 1.75
6 H 0.8322 0.1376 0.8624  1 Ru 1.75
7 K 0.8991 0.6667 0.3333  3 H 2.59
8 Ru 0.0000 0.0000 0.0000  6 H 1.75
9 K 0.1009 0.3333 0.6667  3 H 2.59
10 Sr 0.5000 0.0000 0.0000  6 H 2.45

7.
Density functional theory data (GGA-PBE) for a relaxed ScCd8Ag5 crystal.

Output
DOS(E_F): 0.61 states/eV/atom
Space group: I-4, No. 82
ΔH_f (0 K): 0.035 eV per atom
Final energy: -1.9587 eV/atom
Calculated volume: 300.4 Å³/cell

Cell lengths 7.3112, 7.3112, 7.3112 Å; angles 110.74, 106.96, 110.74 degrees
With the nearest neighbours (Å) after each atom.
Element x y z (fractional)
1 Cd 0.1369 0.7334 0.0772  5 Ag 2.77-2.94, 1 Sc 2.93, 1 Cd 3.05
2 Ag 0.7883 0.6643 0.7054  8 Cd 2.87-3.13
3 Cd 0.6499 0.4043 0.9149  5 Ag 2.92-3.13, 3 Cd 2.98-3.14, 1 Sc 3.24
4 Sc 0.2500 0.5000 0.7500  8 Cd 2.93-3.24
5 Ag 0.2946 0.0828 0.9588  8 Cd 2.87-3.13
6 Cd 0.0851 0.7350 0.4894  5 Ag 2.92-3.13, 3 Cd 2.98-3.14, 1 Sc 3.24
7 Cd 0.7544 0.2650 0.3501  5 Ag 2.92-3.13, 3 Cd 2.98-3.14, 1 Sc 3.24
8 Ag 0.5000 0.0000 0.5000  8 Cd 2.77-2.92
9 Ag 0.0412 0.3357 0.1240  8 Cd 2.87-3.13
10 Cd 0.5106 0.5957 0.2456  5 Ag 2.92-3.13, 3 Cd 2.98-3.14, 1 Sc 3.24
11 Cd 0.3438 0.2666 0.4035  5 Ag 2.77-2.94, 1 Sc 2.93, 1 Cd 3.05
12 Cd 0.9228 0.0597 0.6562  5 Ag 2.77-2.94, 1 Sc 2.93, 1 Cd 3.05
13 Ag 0.8760 0.9172 0.2117  8 Cd 2.87-3.13
14 Cd 0.5965 0.9403 0.8631  5 Ag 2.77-2.94, 1 Sc 2.93, 1 Cd 3.05

8.
Density functional theory data (GGA-PBE) for a relaxed CuNi2Mo crystal.

Output
DOS(E_F): 0.93 states/eV/atom
Space group: C2/m, No. 12
ΔH_f (0 K): 0.096 eV per atom
Final energy: -6.5268 eV/atom
Excess energy over the best structure of this formula in the dataset: 0.41 eV per formula unit
Calculated volume: 49.7 Å³/cell

Cell lengths 4.4427, 4.4427, 4.5699 Å; angles 80.54, 80.54, 34.01 degrees
With the nearest neighbours (Å) after each atom.
Element x y z (fractional)
1 Mo 0.7500 0.7500 0.7500  6 Ni 2.56-2.60, 2 Mo 2.60, 4 Cu 2.63
2 Cu 0.2500 0.2500 0.2500  6 Ni 2.57-2.60, 2 Cu 2.60, 4 Mo 2.63
3 Ni 0.5027 0.5027 0.5010  3 Mo 2.56-2.60, 3 Cu 2.57-2.60, 6 Ni 2.60-2.64
4 Ni 0.9973 0.9973 0.9990  3 Mo 2.56-2.60, 3 Cu 2.57-2.60, 6 Ni 2.60-2.64

9.
Density functional theory data (GGA-PBE) for a relaxed RbH6PdRh crystal.

Output
DOS(E_F): 0.05 states/eV/atom
Space group: P312, No. 149
Final energy: -3.8185 eV/atom
Calculated volume: 116.4 Å³/cell

Cell lengths 4.9552, 4.9548, 5.4774 Å; angles 90.01, 90.00, 59.99 degrees
With the nearest neighbours (Å) after each atom.
Element x y z (fractional)
1 H 0.6570 0.0078 0.3884  1 Rh 1.72, 1 Pd 1.78
2 H 0.6581 0.3342 0.6109  1 Rh 1.72, 1 Pd 1.78
3 H 0.0080 0.3349 0.3885  1 Rh 1.72, 1 Pd 1.78
4 H 0.3345 0.0078 0.6113  1 Rh 1.72, 1 Pd 1.78
5 Rb 0.9999 0.0000 0.0002  6 H 2.71
6 Rh 0.3333 0.3334 0.5005  6 H 1.72
7 Pd 0.6667 0.6666 0.5001  6 H 1.78
8 H 0.3348 0.6574 0.3888  1 Rh 1.72, 1 Pd 1.78
9 H 0.0075 0.6580 0.6111  1 Rh 1.72, 1 Pd 1.78

10.
Density functional theory data (GGA-PBE) for a relaxed Ho2Er3Mg8 crystal.

Output
DOS(E_F): 1.07 states/eV/atom
Space group: R-3m, No. 166
ΔH_f (0 K): 0.133 eV per atom
Final energy: -2.6056 eV/atom
Calculated volume: 359.8 Å³/cell

Cell lengths 5.8223, 5.8223, 12.7098 Å; angles 76.76, 76.76, 60.00 degrees
With the nearest neighbours (Å) after each atom.
Element x y z (fractional)
1 Mg 0.7708 0.2700 0.6892  4 Mg 2.91-2.92
2 Mg 0.2292 0.7300 0.3108  4 Mg 2.91-2.92
3 Er 0.0000 0.0000 0.0000  6 Ho 3.50
4 Ho 0.6400 0.6400 0.0799  4 Mg 3.13-3.29, 3 Er 3.50
5 Er 0.1834 0.1834 0.4499  10 Mg 3.36-3.38, 3 Er 3.58
6 Mg 0.7300 0.2292 0.3108  4 Mg 2.91-2.92
7 Mg 0.2700 0.2700 0.6892  4 Mg 2.91-2.92
8 Mg 0.7300 0.7300 0.3108  4 Mg 2.91-2.92
9 Er 0.8166 0.8166 0.5501  10 Mg 3.36-3.38, 3 Er 3.58
10 Ho 0.3600 0.3600 0.9201  4 Mg 3.13-3.29, 3 Er 3.50
11 Mg 0.7252 0.7252 0.8243  1 Ho 3.13, 6 Mg 3.35, 1 Er 3.36
12 Mg 0.2748 0.2748 0.1757  1 Ho 3.13, 6 Mg 3.35, 1 Er 3.36
13 Mg 0.2700 0.7708 0.6892  4 Mg 2.91-2.92